This record from Alexandria describes a geometry-optimized Nd3Hg2Au3 structure. The functional is GGA-PBE.

Space-group type: P6_3/mcm, No. 193
E_form in eV per atom: -0.605
Relative energy among the computed polymorphs in meV per atom: 6.5

Cell and atoms, written as POSCAR:
```
Nd3Hg2Au3
1.0
8.9713 0.0000 0.0000
-4.4856 7.7694 0.0000
0.0000 0.0000 6.1211
Nd Hg Au
6 4 6
Direct
0.0000 0.3031 0.2500
0.0000 0.6969 0.7500
0.3031 0.0000 0.2500
0.3031 0.3031 0.7500
0.6969 0.0000 0.7500
0.6969 0.6969 0.2500
0.3333 0.6667 0.0000
0.3333 0.6667 0.5000
0.6667 0.3333 0.0000
0.6667 0.3333 0.5000
0.0000 0.3575 0.7500
0.0000 0.6425 0.2500
0.3575 0.0000 0.7500
0.3575 0.3575 0.2500
0.6425 0.0000 0.2500
0.6425 0.6425 0.7500
```

***

This record from Alexandria describes a geometry-optimized AgH structure. The functional is GGA-PBE.

Space-group type: Fddd, No. 70
Relative energy among the computed polymorphs in meV per atom: 71.5

Cell and atoms, written as POSCAR:
```
AgH
1.0
0.0000 4.5015 4.5506
2.9274 0.0000 4.5506
2.9274 4.5015 0.0000
Ag H
4 4
Direct
0.0458 0.7042 0.0458
0.2958 0.9542 0.2958
0.7042 0.0458 0.7042
0.9542 0.2958 0.9542
0.0312 0.0312 0.7188
0.2812 0.2812 0.9688
0.7188 0.7188 0.0312
0.9688 0.9688 0.2812
```

***

This record from Alexandria describes a geometry-optimized MnTeSN2 structure. The functional is GGA-PBE.

ΔE_f (raw) in eV/atom: 1.2379
Space-group type: P4/mmm, No. 123
Relative energy among the computed polymorphs in meV per atom: 564.1

Cell and atoms, written as POSCAR:
```
MnTeSN2
1.0
3.9342 0.0000 0.0000
0.0000 3.9342 0.0000
0.0000 0.0000 5.4217
Mn Te S N
1 1 1 2
Direct
0.0000 0.0000 0.0000
0.5000 0.5000 0.5000
0.5000 0.5000 0.0000
0.0000 0.5000 0.5000
0.5000 0.0000 0.5000
```

***

This record from Alexandria describes a geometry-optimized Ac2SmMnN4 structure. The functional is GGA-PBE.

ΔE_f (raw) in eV/atom: -0.7905
Space-group type: Cmcm, No. 63

Cell and atoms, written as POSCAR:
```
Ac2SmMnN4
1.0
1.8502 -6.7487 0.0000
1.8502 6.7487 0.0000
0.0000 0.0000 12.5319
Ac Sm Mn N
4 2 2 8
Direct
0.1260 0.8740 0.5414
0.1260 0.8740 0.9586
0.8740 0.1260 0.0414
0.8740 0.1260 0.4586
0.3454 0.6546 0.7500
0.6546 0.3454 0.2500
0.3116 0.6884 0.2500
0.6884 0.3116 0.7500
0.1478 0.8522 0.7500
0.2210 0.7790 0.1353
0.2210 0.7790 0.3647
0.5000 0.5000 0.0000
0.5000 0.5000 0.5000
0.7790 0.2210 0.6353
0.7790 0.2210 0.8647
0.8522 0.1478 0.2500
```

***

This record from Alexandria describes a geometry-optimized TlAgTeN2 structure. The functional is GGA-PBE.

ΔE_f (raw) in eV/atom: 1.7245
Space-group type: P4/mmm, No. 123
Relative energy among the computed polymorphs in meV per atom: 120.7

Cell and atoms, written as POSCAR:
```
TlAgTeN2
1.0
4.3422 0.0000 0.0000
0.0000 4.3422 0.0000
0.0000 0.0000 6.4530
Tl Ag Te N
1 1 1 2
Direct
0.0000 0.0000 0.0000
0.5000 0.5000 0.5000
0.0000 0.0000 0.5000
0.0000 0.5000 0.0000
0.5000 0.0000 0.0000
```

***

This record from Alexandria describes a geometry-optimized Y2Al2Ni structure. The functional is GGA-PBE.

Space-group type: P4/mbm, No. 127
E_form in eV per atom: -0.351
Relative energy among the computed polymorphs in meV per atom: 91.1

Cell and atoms, written as POSCAR:
```
Y2Al2Ni
1.0
6.7014 0.0000 0.0000
0.0000 6.7014 0.0000
0.0000 0.0000 4.7131
Y Al Ni
4 4 2
Direct
0.1688 0.3312 0.0000
0.3312 0.8312 0.0000
0.6688 0.1688 0.0000
0.8312 0.6688 0.0000
0.1417 0.6417 0.5000
0.3583 0.1417 0.5000
0.6417 0.8583 0.5000
0.8583 0.3583 0.5000
0.0000 0.0000 0.5000
0.5000 0.5000 0.5000
```

***

This record from Alexandria describes a geometry-optimized Li2La2BRh4 structure. The functional is GGA-PBE.

Space-group type: I4/mmm, No. 139
E_form in eV per atom: -0.591

Cell and atoms, written as POSCAR:
```
Li2La2BRh4
1.0
-3.0441 3.0441 4.0710
3.0441 -3.0441 4.0710
3.0441 3.0441 -4.0710
Li La B Rh
2 2 1 4
Direct
0.2077 0.2077 0.0000
0.7923 0.7923 0.0000
0.2500 0.7500 0.5000
0.7500 0.2500 0.5000
0.5000 0.5000 0.0000
0.2563 0.2563 0.5126
0.2563 0.7437 0.0000
0.7437 0.2563 0.0000
0.7437 0.7437 0.4874
```

***

This record from Alexandria describes a geometry-optimized ScTa2Cd structure. The functional is GGA-PBE.

Space-group type: P4/mmm, No. 123
E_form in eV per atom: 0.467

Cell and atoms, written as POSCAR:
```
ScTa2Cd
1.0
5.1267 0.0000 0.0000
0.0000 5.1267 0.0000
0.0000 0.0000 2.9978
Sc Ta Cd
1 2 1
Direct
0.0000 0.0000 0.0000
0.0000 0.5000 0.5000
0.5000 0.0000 0.5000
0.5000 0.5000 0.0000
```

***

Question: Number 2 is which compound?
Answer: AgH